(1)
# BaLiCl2

A relaxed structure of BaLiCl2 (PBE-GGA, the Alexandria database). Values from VASP.

Properties
The value obtained for the magnetization is 0.6 μB/cell. The energy above the lowest structure with this stoichiometry comes out at 0.71 eV per formula unit. The energy relative to the elements, uncorrected comes out at -1.55 eV per atom. The space group is R-3m (166). Its volume is 32.3 A^3/atom.

The structure in Quantum ESPRESSO input format:
```
&SYSTEM
  ibrav = 0, nat = 4, ntyp = 3
/
ATOMIC_SPECIES
Ba 137.33 Ba.upf
Li 6.94 Li.upf
Cl 35.45 Cl.upf
ATOMIC_POSITIONS crystal
Ba 0.000 0.000 0.000
Li 0.500 0.500 0.500
Cl 0.115 0.115 0.115
Cl 0.885 0.885 0.885
CELL_PARAMETERS angstrom
2.093 1.208 8.529
-2.093 1.208 8.529
0.000 -2.416 8.529
```



(2)
# ZrNb2P

A relaxed structure of ZrNb2P (PBE-GGA, the Alexandria database). Values from VASP.

Properties
The value obtained for the magnetization is 0.0 μB/cell. The space group is I-42d (122). Its volume is 19.7 A^3/atom. Its formation energy is -69 kJ/mol of formula units.

The structure in Quantum ESPRESSO input format:
```
&SYSTEM
  ibrav = 0, nat = 8, ntyp = 3
/
ATOMIC_SPECIES
Zr 91.22 Zr.upf
Nb 92.91 Nb.upf
P 30.97 P.upf
ATOMIC_POSITIONS crystal
Zr 0.000 0.000 0.000
Zr 0.750 0.250 0.500
Nb 0.205 0.625 0.080
Nb 0.375 0.455 0.580
Nb 0.545 0.125 0.920
Nb 0.875 0.795 0.420
P 0.250 0.750 0.500
P 0.500 0.500 0.000
CELL_PARAMETERS angstrom
-3.907 3.907 2.580
3.907 -3.907 2.580
3.907 3.907 -2.580
```